Entry 1:
The following is a DFT calculation (PBE-GGA) of Na2GaAgSe4 after structural relaxation.

space group = I-42m, No. 121
ΔE_f (raw) = -0.512 eV per atom

```
16
Lattice="7.287 0.000 0.000 0.000 7.287 0.000 0.000 0.000 7.081" Properties=species:S:1:pos:R:3 pbc="T T T"
Na 0.000 3.644 0.000
Na 0.000 3.644 3.541
Na 3.644 0.000 0.000
Na 3.644 0.000 3.541
Ga 0.000 0.000 0.000
Ga 3.644 3.644 3.541
Ag 0.000 0.000 3.541
Ag 3.644 3.644 0.000
Se 1.301 1.301 5.475
Se 1.301 5.986 1.606
Se 2.343 2.343 1.935
Se 2.343 4.944 5.146
Se 4.944 2.343 5.146
Se 4.944 4.944 1.935
Se 5.986 1.301 1.606
Se 5.986 5.986 5.475
```

=====

Entry 2:
The following is a DFT calculation (PBE-GGA) of AcCeC after structural relaxation.

space group = I4mm, No. 107
energy of formation from the pure elements = 386 meV/atom

```
6
Lattice="3.352 0.000 0.000 0.000 3.352 0.000 0.000 0.000 12.902" Properties=species:S:1:pos:R:3 pbc="T T T"
Ac 0.000 0.000 0.000
Ac 1.676 1.676 6.451
Ce 0.000 0.000 9.924
Ce 1.676 1.676 3.473
C 0.000 0.000 4.574
C 1.676 1.676 11.025
```

=====

Entry 3:
The following is a DFT calculation (PBE-GGA) of Nb after structural relaxation.

space group = I4/mmm, No. 139
energy of formation from the pure elements = 272 meV/atom

```
16
Lattice="9.701 0.000 0.000 0.000 9.701 0.000 0.000 0.000 3.264" Properties=species:S:1:pos:R:3 pbc="T T T"
Nb 0.000 3.199 0.000
Nb 0.000 6.502 0.000
Nb 1.491 1.491 1.632
Nb 1.491 8.211 1.632
Nb 1.651 4.851 1.632
Nb 3.199 0.000 0.000
Nb 3.360 3.360 0.000
Nb 3.360 6.341 0.000
Nb 4.851 1.651 1.632
Nb 4.851 8.050 1.632
Nb 6.341 3.360 0.000
Nb 6.341 6.341 0.000
Nb 6.502 0.000 0.000
Nb 8.050 4.851 1.632
Nb 8.211 1.491 1.632
Nb 8.211 8.211 1.632
```

=====

Entry 4:
The following is a DFT calculation (PBE-GGA) of AsPSeN2 after structural relaxation.

space group = P4/mmm, No. 123
ΔE_f (raw) = 1.383 eV per atom

```
5
Lattice="3.623 0.000 0.000 0.000 3.623 0.000 0.000 0.000 7.846" Properties=species:S:1:pos:R:3 pbc="T T T"
As 0.000 0.000 0.000
P 1.811 1.811 3.923
Se 0.000 0.000 3.923
N 0.000 1.811 0.000
N 1.811 0.000 0.000
```

=====

Entry 5:
The following is a DFT calculation (PBE-GGA) of Cs2KBrO after structural relaxation.

space group = P4/mmm, No. 123
ΔE_f (raw) = -1.277 eV per atom

```
5
Lattice="5.944 0.000 0.000 0.000 5.944 0.000 0.000 0.000 5.244" Properties=species:S:1:pos:R:3 pbc="T T T"
Cs 0.000 2.972 0.000
Cs 2.972 0.000 0.000
K 0.000 0.000 2.622
Br 2.972 2.972 2.622
O 0.000 0.000 0.000
```

=====

Entry 6:
The following is a DFT calculation (PBE-GGA) of RbAc2CuTe4 after structural relaxation.

space group = Cmcm, No. 63
ΔE_f (raw) = -1.244 eV per atom

```
16
Lattice="2.338 -8.137 0.000 2.338 8.137 0.000 0.000 0.000 16.199" Properties=species:S:1:pos:R:3 pbc="T T T"
Rb 2.338 6.434 12.149
Rb 2.338 -6.434 4.050
Ac 2.338 2.219 9.098
Ac 2.338 2.219 15.201
Ac 2.338 -2.219 0.998
Ac 2.338 -2.219 7.102
Cu 2.338 5.534 4.050
Cu 2.338 -5.534 12.149
Te 0.000 0.000 0.000
Te 0.000 0.000 8.100
Te 2.338 3.817 1.958
Te 2.338 3.817 6.142
Te 2.338 1.161 12.149
Te 2.338 -1.161 4.050
Te 2.338 -3.817 10.058
Te 2.338 -3.817 14.241
```

=====

Entry 7:
The following is a DFT calculation (PBE-GGA) of VPtSeN2 after structural relaxation.

space group = P4/mmm, No. 123
ΔE_f (raw) = 0.537 eV per atom

```
5
Lattice="3.691 0.000 0.000 0.000 3.691 0.000 0.000 0.000 5.577" Properties=species:S:1:pos:R:3 pbc="T T T"
V 0.000 0.000 0.000
Pt 1.845 1.845 2.789
Se 0.000 0.000 2.789
N 0.000 1.845 0.000
N 1.845 0.000 0.000
```

=====

Entry 8:
The following is a DFT calculation (PBE-GGA) of SmHo2Ga2Ag2 after structural relaxation.

space group = R-3m, No. 166
energy of formation from the pure elements = -374 meV/atom

```
7
Lattice="2.317 1.337 8.907 -2.317 1.337 8.907 0.000 -2.675 8.907" Properties=species:S:1:pos:R:3 pbc="T T T"
Sm 0.000 0.000 0.000
Ho 0.000 0.000 3.383
Ho 0.000 0.000 23.338
Ga 0.000 0.000 6.833
Ga 0.000 0.000 19.888
Ag 0.000 0.000 10.768
Ag 0.000 0.000 15.953
```

=====

Entry 9:
The following is a DFT calculation (PBE-GGA) of Ac2TbSn4Ir3 after structural relaxation.

space group = P-4m2, No. 115
energy of formation from the pure elements = -599 meV/atom

```
10
Lattice="4.542 0.000 0.000 0.000 4.542 0.000 0.000 0.000 12.110" Properties=species:S:1:pos:R:3 pbc="T T T"
Ac 0.000 2.271 2.795
Ac 2.271 0.000 9.315
Tb 0.000 0.000 6.055
Sn 0.000 0.000 0.000
Sn 0.000 2.271 7.976
Sn 2.271 0.000 4.134
Sn 2.271 2.271 0.000
Ir 0.000 2.271 10.628
Ir 2.271 0.000 1.481
Ir 2.271 2.271 6.055
```

=====

Entry 10:
The following is a DFT calculation (PBE-GGA) of MgPb2Se after structural relaxation.

space group = R-3m, No. 166
ΔE_f (raw) = -0.107 eV per atom

```
12
Lattice="3.950 0.000 0.000 -1.975 3.421 0.000 0.000 0.000 25.759" Properties=species:S:1:pos:R:3 pbc="T T T"
Mg 0.000 0.000 0.000
Mg 0.000 2.280 17.173
Mg 1.975 1.140 8.586
Pb 0.000 0.000 6.271
Pb 0.000 0.000 19.488
Pb 0.000 2.280 10.902
Pb 0.000 2.280 23.444
Pb 1.975 1.140 2.315
Pb 1.975 1.140 14.858
Se 0.000 0.000 12.880
Se 0.000 2.280 4.293
Se 1.975 1.140 21.466
```

=====

Entry 11:
The following is a DFT calculation (PBE-GGA) of Pr2CuGe6 after structural relaxation.

space group = Amm2, No. 38
energy of formation from the pure elements = -449 meV/atom

```
9
Lattice="4.192 0.000 0.000 0.000 2.067 10.995 0.000 -2.067 10.995" Properties=species:S:1:pos:R:3 pbc="T T T"
Pr 0.000 0.000 0.000
Pr 0.000 0.000 7.341
Cu 2.096 0.000 17.086
Ge 0.000 0.000 13.309
Ge 0.000 0.000 15.808
Ge 2.096 0.000 2.306
Ge 2.096 0.000 4.813
Ge 2.096 0.000 10.007
Ge 2.096 0.000 19.475
```

=====

Entry 12:
The following is a DFT calculation (PBE-GGA) of K3SnAu4 after structural relaxation.

space group = Imm2, No. 44
energy of formation from the pure elements = -301 meV/atom

```
16
Lattice="6.653 0.000 0.000 0.000 9.068 0.000 0.000 0.000 8.544" Properties=species:S:1:pos:R:3 pbc="T T T"
K 0.000 0.000 0.000
K 0.000 2.409 5.702
K 0.000 6.659 5.702
K 3.327 2.125 1.431
K 3.327 4.534 4.272
K 3.327 6.943 1.431
Sn 0.000 4.534 1.010
Sn 3.327 0.000 5.282
Au 0.000 2.239 2.397
Au 0.000 6.830 2.397
Au 1.374 0.000 3.455
Au 1.952 4.534 7.726
Au 3.327 2.295 6.669
Au 3.327 6.773 6.669
Au 4.701 4.534 7.726
Au 5.279 0.000 3.455
```

=====

Entry 13:
The following is a DFT calculation (PBE-GGA) of TiMnSb after structural relaxation.

space group = P4/nmm, No. 129
ΔE_f (raw) = -0.308 eV per atom

```
6
Lattice="4.127 0.000 0.000 0.000 4.127 0.000 0.000 0.000 6.110" Properties=species:S:1:pos:R:3 pbc="T T T"
Ti 1.032 1.032 1.501
Ti 3.095 3.095 4.609
Mn 1.032 3.095 0.000
Mn 3.095 1.032 0.000
Sb 1.032 1.032 4.447
Sb 3.095 3.095 1.664
```

=====

Entry 14:
The following is a DFT calculation (PBE-GGA) of Rb2Nd2TiSe6 after structural relaxation.

space group = C2/m, No. 12
ΔE_f (raw) = -1.509 eV per atom

```
11
Lattice="3.615 -6.164 0.000 3.615 6.164 0.000 -2.526 0.000 8.162" Properties=species:S:1:pos:R:3 pbc="T T T"
Rb 3.615 4.026 0.000
Rb 3.615 -4.026 0.000
Nd 2.351 2.060 4.081
Nd 2.351 -2.060 4.081
Ti -1.263 0.000 4.081
Se -0.171 1.844 5.635
Se 0.872 0.000 2.551
Se -0.171 -1.844 5.635
Se 4.874 1.844 2.527
Se 3.830 0.000 5.611
Se 4.874 -1.844 2.527
```

=====

Entry 15:
The following is a DFT calculation (PBE-GGA) of Nb3Ir2Se10 after structural relaxation.

space group = P-1, No. 2
ΔE_f (raw) = -0.601 eV per atom

```
15
Lattice="5.849 0.000 0.000 -0.219 7.698 0.000 -2.857 -3.661 7.992" Properties=species:S:1:pos:R:3 pbc="T T T"
Nb 0.000 0.000 0.000
Nb 0.078 1.504 2.838
Nb 2.694 2.533 5.154
Ir 0.007 3.203 6.331
Ir 2.766 0.834 1.661
Se -1.012 3.688 4.066
Se -1.969 1.749 7.245
Se 0.974 -0.803 2.353
Se -0.775 -2.323 7.245
Se 0.782 0.953 5.484
Se 1.990 3.084 2.508
Se 3.548 6.359 0.748
Se 1.799 4.840 5.639
Se 4.741 2.288 0.747
Se 3.784 0.349 3.926
```

=====

Entry 16:
The following is a DFT calculation (PBE-GGA) of Nb4Ir3 after structural relaxation.

space group = R-3, No. 148
energy of formation from the pure elements = -366 meV/atom

```
14
Lattice="6.062 3.500 1.848 -6.062 3.500 1.848 0.000 -7.000 1.848" Properties=species:S:1:pos:R:3 pbc="T T T"
Nb 0.000 0.000 0.000
Nb -2.471 -0.448 1.287
Nb 1.623 -1.916 1.287
Nb 0.848 2.364 1.287
Nb 0.000 0.000 2.772
Nb -0.848 -2.364 4.257
Nb -1.623 1.916 4.257
Nb 2.471 0.448 4.257
Ir -0.989 -2.619 1.509
Ir -1.774 2.166 1.509
Ir -2.763 -0.453 4.035
Ir 2.763 0.453 1.509
Ir 1.774 -2.166 4.035
Ir 0.989 2.619 4.035
```

=====

Entry 17:
The following is a DFT calculation (PBE-GGA) of Ho2AlS5 after structural relaxation.

space group = Cmcm, No. 63
ΔE_f (raw) = -1.421 eV per atom

```
16
Lattice="2.635 -6.556 0.000 2.635 6.556 0.000 0.000 0.000 11.611" Properties=species:S:1:pos:R:3 pbc="T T T"
Ho 2.635 4.531 6.590
Ho 2.635 4.531 10.826
Ho 2.635 -4.531 0.785
Ho 2.635 -4.531 5.021
Al 2.635 4.035 2.903
Al 2.635 -4.035 8.708
S 2.635 6.025 1.518
S 2.635 6.025 4.287
S 2.635 2.857 8.708
S 2.635 2.540 1.088
S 2.635 2.540 4.717
S 2.635 -2.540 6.894
S 2.635 -2.540 10.523
S 2.635 -2.857 2.903
S 2.635 -6.025 7.324
S 2.635 -6.025 10.093
```

=====

Entry 18:
The following is a DFT calculation (PBE-GGA) of Sc2Zn2Au after structural relaxation.

space group = Cm, No. 8
energy of formation from the pure elements = -498 meV/atom

```
10
Lattice="7.110 -2.332 0.000 7.110 2.332 0.000 -1.300 0.000 5.598" Properties=species:S:1:pos:R:3 pbc="T T T"
Sc 0.000 0.000 0.000
Sc 4.575 0.000 3.615
Sc 7.830 0.000 2.428
Sc 11.018 0.000 0.861
Zn 1.536 0.000 4.455
Zn 2.304 0.000 1.697
Zn 7.227 0.000 5.149
Zn 13.299 0.000 2.758
Au 5.548 0.000 0.947
Au 10.284 0.000 3.670
```

=====

In order of appearance, VASP energy = -53.104, -36.218, -156.771, -23.278, -15.820, -71.594, -32.607, -28.249, -61.432, -38.774, -45.404, -45.630, -44.219, -56.867, -91.789, -138.843, -89.812, -41.952 eV/cell.
In order of appearance, total magnetization = 0.00, 0.43, 0.00, 0.70, 0.00, 0.00, 0.00, 0.00, 0.00, 0.00, 0.00, 0.00, 0.00, 0.00, 0.00, 0.00, 0.88, 0.00 Bohr magnetons per cell.